<w>
The following is a DFT calculation (meta-GGA SCAN) of LiFeRe2 at its PBEsol-relaxed geometry.

Geometry as extended XYZ:
```
4
Lattice="3.031 0.000 0.000 0.000 3.031 0.000 0.000 0.000 5.502" Properties=species:S:1:pos:R:3 pbc="T T T"
Re 0.000 0.000 5.414
Re 1.516 1.516 1.388
Fe 0.000 0.000 2.902
Li 1.516 1.516 4.051
```

---

<x>
The following is a DFT calculation (meta-GGA SCAN) of LiFeRe2 at its PBEsol-relaxed geometry.

Geometry as extended XYZ:
```
4
Lattice="3.002 0.000 0.000 0.000 4.167 0.000 -1.501 -2.083 4.095" Properties=species:S:1:pos:R:3 pbc="T T T"
Li 0.000 2.083 0.000
Re 1.501 2.083 2.084
Re 0.000 0.000 2.010
Fe 1.501 0.000 0.000
```

---

Stability summary - winner: <x>; margin: 58 meV per atom.